VASP calculation (PBE) on a geometry-optimized LiDySn structure.

Summary:
Formation enthalpy at 0 K = -1.958 eV per formula unit
Total magnetic moment = 0.0 μB per cell

Lattice parameters (Å, degrees): 9.3697 9.3697 7.3123 90.00 90.00 120.00
Space group P6_3mc (No. 186)
Unique sites:
Li  0.1667  0.3335  0.0000 (multiplicity 6)
Li  0.3333  0.6667  0.3953 (multiplicity 2)
Dy  0.0000  0.0000  0.2138 (multiplicity 2)
Dy  0.0219  0.5109  0.7088 (multiplicity 6)
Sn  0.1667  0.3335  0.4454 (multiplicity 6)
Sn  0.3333  0.6667  0.9764 (multiplicity 2)

***

VASP calculation (PBE) on a geometry-optimized YMgCu3 structure.

Summary:
Formation enthalpy at 0 K = -0.278 eV per formula unit
Total magnetic moment = 0.0 μB per cell

Lattice parameters (Å, degrees): 4.564 4.564 8.704 90.00 90.00 90.00
Space group I4mm (No. 107)
Unique sites:
Y  0.000  0.000  0.000 (multiplicity 2)
Mg  0.000  0.000  0.621 (multiplicity 2)
Cu  0.000  0.000  0.339 (multiplicity 2)
Cu  0.000  0.500  0.268 (multiplicity 4)

***

VASP calculation (PBE) on a geometry-optimized La2PrSmTe5 structure.

Summary:
Formation energy without anion corrections = -8.4 eV per formula unit
Total magnetic moment = 1.3 μB per cell

Lattice parameters (Å, degrees): 5.607 5.607 11.923 90.00 90.00 90.00
Space group P4/mmm (No. 123)
Unique sites:
La  0.000  0.000  0.164 (multiplicity 2)
Pr  0.500  0.500  0.500 (multiplicity 1)
Sm  0.500  0.500  0.000 (multiplicity 1)
Te  0.000  0.000  0.500 (multiplicity 1)
Te  0.000  0.500  0.000 (multiplicity 2)
Te  0.500  0.500  0.252 (multiplicity 2)

***

VASP calculation (PBE) on a geometry-optimized Tb3Y5Er structure.

Summary:
Formation enthalpy at 0 K = 2.469 eV per formula unit
Total magnetic moment = 0.0 μB per cell

Lattice parameters (Å, degrees): 19.067 6.320 12.378 90.00 126.59 90.00
Space group C2/c (No. 15)
Unique sites:
Tb  0.000  0.000  0.000 (multiplicity 4)
Tb  0.200  0.135  0.062 (multiplicity 8)
Y  0.000  0.320  0.250 (multiplicity 4)
Y  0.109  0.435  0.610 (multiplicity 8)
Y  0.188  0.124  0.322 (multiplicity 8)
Er  0.000  0.196  0.750 (multiplicity 4)

***

VASP calculation (PBE) on a geometry-optimized SrCdInNi structure.

Summary:
Formation enthalpy at 0 K = -0.286 eV per formula unit
Total magnetic moment = 0.0 μB per cell

Lattice parameters (Å, degrees): 6.420 10.205 3.555 90.00 123.40 90.00
Space group C2 (No. 5)
Unique sites:
Sr  0.000  0.000  0.000 (multiplicity 2)
Cd  0.000  0.304  0.500 (multiplicity 2)
In  0.000  0.704  0.500 (multiplicity 2)
Ni  0.000  0.508  0.000 (multiplicity 2)

***

VASP calculation (PBE) on a geometry-optimized Y2Ho7Th2 structure.

Summary:
Formation enthalpy at 0 K = 1.980 eV per formula unit
Total magnetic moment = 0.0 μB per cell

Lattice parameters (Å, degrees): 11.119 11.381 6.106 90.00 113.60 90.00
Space group C2/m (No. 12)
Unique sites:
Y  0.000  0.214  0.000 (multiplicity 4)
Ho  0.000  0.000  0.500 (multiplicity 2)
Ho  0.174  0.238  0.671 (multiplicity 8)
Ho  0.240  0.000  0.079 (multiplicity 4)
Th  0.085  0.500  0.309 (multiplicity 4)

***

VASP calculation (PBE) on a geometry-optimized PrYSn structure.

Summary:
Formation enthalpy at 0 K = -1.344 eV per formula unit
Total magnetic moment = 0.0 μB per cell

Lattice parameters (Å, degrees): 5.2247 5.2247 25.8421 90.00 90.00 120.00
Space group R-3m (No. 166, hexagonal axes)
Unique sites:
Pr  0.0000  0.0000  0.1262 (multiplicity 6)
Y  0.0000  0.0000  0.3755 (multiplicity 6)
Sn  0.0000  0.0000  0.2545 (multiplicity 6)

***

VASP calculation (PBE) on a geometry-optimized PrY5Tm12 structure.

Summary:
Formation enthalpy at 0 K = 2.185 eV per formula unit
Total magnetic moment = 0.0 μB per cell

Lattice parameters (Å, degrees): 11.153 17.149 5.901 90.00 90.05 90.00
Space group C2/m (No. 12)
Unique sites:
Pr  0.000  0.000  0.000 (multiplicity 2)
Y  0.000  0.168  0.500 (multiplicity 4)
Y  0.000  0.331  0.000 (multiplicity 4)
Y  0.000  0.500  0.500 (multiplicity 2)
Tm  0.170  0.500  0.042 (multiplicity 4)
Tm  0.175  0.333  0.451 (multiplicity 8)
Tm  0.176  0.000  0.457 (multiplicity 4)
Tm  0.178  0.167  0.050 (multiplicity 8)

***

VASP calculation (PBE) on a geometry-optimized Ho5ErAl6 structure.

Summary:
Formation enthalpy at 0 K = -4.761 eV per formula unit
Total magnetic moment = 0.0 μB per cell

Lattice parameters (Å, degrees): 5.062 7.155 8.001 90.00 108.26 90.00
Space group P2/m (No. 10)
Unique sites:
Ho  0.000  0.000  0.000 (multiplicity 1)
Ho  0.333  0.000  0.666 (multiplicity 2)
Ho  0.333  0.500  0.667 (multiplicity 2)
Er  0.000  0.500  0.000 (multiplicity 1)
Al  0.166  0.251  0.333 (multiplicity 4)
Al  0.500  0.251  0.000 (multiplicity 2)

***

VASP calculation (PBE) on a geometry-optimized YTiInAg2 structure.

Summary:
Formation enthalpy at 0 K = 2.294 eV per formula unit
Total magnetic moment = 1.0 μB per cell

Lattice parameters (Å, degrees): 4.969 4.969 5.210 90.00 90.00 90.00
Space group P4/mmm (No. 123)
Unique sites:
Y  0.000  0.000  0.000 (multiplicity 1)
Ti  0.500  0.500  0.500 (multiplicity 1)
In  0.500  0.500  0.000 (multiplicity 1)
Ag  0.000  0.500  0.500 (multiplicity 2)

***

VASP calculation (PBE) on a geometry-optimized Cs2HgRhO structure.

Summary:
Formation energy without anion corrections = -2.3 eV per formula unit
Total magnetic moment = 0.0 μB per cell

Lattice parameters (Å, degrees): 6.522 6.522 3.819 90.00 90.00 90.00
Space group P4/mmm (No. 123)
Unique sites:
Cs  0.000  0.500  0.000 (multiplicity 2)
Hg  0.000  0.000  0.500 (multiplicity 1)
Rh  0.500  0.500  0.500 (multiplicity 1)
O  0.500  0.500  0.000 (multiplicity 1)

***

VASP calculation (PBE) on a geometry-optimized Ho2AlCu7 structure.

Summary:
Formation enthalpy at 0 K = -2.055 eV per formula unit
Total magnetic moment = 0.0 μB per cell

Lattice parameters (Å, degrees): 3.797 3.797 11.215 90.00 90.00 90.00
Space group P-4m2 (No. 115)
Unique sites:
Ho  0.000  0.500  0.246 (multiplicity 2)
Al  0.000  0.000  0.500 (multiplicity 1)
Cu  0.000  0.000  0.000 (multiplicity 1)
Cu  0.000  0.500  0.646 (multiplicity 2)
Cu  0.000  0.500  0.862 (multiplicity 2)
Cu  0.500  0.500  0.000 (multiplicity 1)
Cu  0.500  0.500  0.500 (multiplicity 1)